Record 1
VASP calculation (PBE-GGA) on crystalline Ac2CdNi at its relaxed geometry.

Summary:
SG: R-3m, No. 166
ΔH_f (0 K): 0.031 eV/atom

Lattice parameters (Å, degrees): 10.5112 10.5112 10.5112 23.45 23.45 23.45
Positions (direct):
1 Ac 0.1155 0.1155 0.1155
2 Ac 0.8845 0.8845 0.8845
3 Cd 0.0000 0.0000 0.0000
4 Ni 0.5000 0.5000 0.5000

***

Record 2
VASP calculation (PBE-GGA) on crystalline CrCdAs2 at its relaxed geometry.

Summary:
SG: R3m, No. 160
ΔH_f (0 K): 0.352 eV/atom

Lattice parameters (Å, degrees): 8.7674 8.7674 8.7674 20.92 20.92 20.92
Positions (direct):
1 Cr 0.0000 0.0000 0.0000
2 Cd 0.7535 0.7535 0.7535
3 As 0.2748 0.2748 0.2748
4 As 0.5132 0.5132 0.5132

***

Record 3
VASP calculation (PBE-GGA) on crystalline SbOs2Pt at its relaxed geometry.

Summary:
SG: I-42d, No. 122
Energy relative to the elements, uncorrected: 1199 meV/atom

Lattice parameters (Å, degrees): 7.2552 7.2552 7.2552 134.17 134.17 66.82
Positions (direct):
1 Sb 0.0000 0.0000 0.0000
2 Sb 0.7500 0.2500 0.5000
3 Os 0.1500 0.6250 0.0250
4 Os 0.3750 0.4000 0.5250
5 Os 0.6000 0.1250 0.9750
6 Os 0.8750 0.8500 0.4750
7 Pt 0.2500 0.7500 0.5000
8 Pt 0.5000 0.5000 0.0000

***

Record 4
VASP calculation (PBE-GGA) on crystalline K2Rb2InBi2 at its relaxed geometry.

Summary:
SG: C2/m, No. 12
ΔH_f (0 K): -0.204 eV/atom

Lattice parameters (Å, degrees): 7.2253 7.2253 10.5831 115.16 115.16 41.92
Positions (direct):
1 K 0.1284 0.1284 0.4166
2 K 0.8716 0.8716 0.5834
3 Rb 0.3441 0.3441 0.1698
4 Rb 0.6559 0.6559 0.8302
5 In 0.0000 0.0000 0.0000
6 Bi 0.3607 0.3607 0.8150
7 Bi 0.6393 0.6393 0.1850

***

Number 1: density 6.4 g cm⁻³. Number 2: density 6.9 g cm⁻³. Number 3: density 12.0 g cm⁻³. Number 4: density 4.0 g cm⁻³.